Entry from Alexandria via LeMat-Bulk: a relaxed Ba3Cu crystal (PBE).

a b c (Å): 11.6039 11.6039 11.6039
angles (deg): 23.08 23.08 23.08
Sites, in units of the cell vectors:
Cu (0.0000, 0.0000, 0.0000)
Ba (0.5000, 0.5000, 0.5000)
Ba (0.2801, 0.2801, 0.2801)
Ba (0.7199, 0.7199, 0.7199)

## Properties
Space group   No. 166
M_tot   0.000 μB per atom
Raw total energy   -2.42 eV/atom